LiHoO2: relaxed, GGA-PBEsol.

The value obtained for the raw formation energy is -2.995 eV/atom. Its total energy is -7.349 eV/atom. The magnetization is 0.0 Bohr magnetons per cell.

Cell and atoms, written as CIF:
```
data_LiHoO2
_cell_length_a 6.095
_cell_length_b 6.092
_cell_length_c 6.174
_cell_angle_alpha 90.00
_cell_angle_beta 119.15
_cell_angle_gamma 90.00
_space_group_name_H-M_alt 'P 1 21/c 1'
_space_group_IT_number 14
loop_
_space_group_symop_operation_xyz
'x,y,z'
'-x,-y,-z'
'-x,y+1/2,-z+1/2'
'x,-y+1/2,z+1/2'
loop_
_atom_site_label
_atom_site_type_symbol
_atom_site_fract_x
_atom_site_fract_y
_atom_site_fract_z
_atom_site_occupancy
Li1 Li 0.211 0.153 0.441 1
Ho1 Ho 0.265 0.630 0.520 1
O1 O 0.045 0.610 0.735 1
O2 O 0.491 0.170 0.159 1
```



LiHoO2: relaxed, GGA-PBEsol.

The value obtained for the raw formation energy is -2.923 eV/atom. Its total energy is -7.277 eV/atom. The magnetization is 0.0 Bohr magnetons per cell.

Cell and atoms, written as CIF:
```
data_LiHoO2
_cell_length_a 3.3147
_cell_length_b 3.3147
_cell_length_c 14.8618
_cell_angle_alpha 90.00
_cell_angle_beta 90.00
_cell_angle_gamma 120.00
_space_group_name_H-M_alt 'R -3 m'
_space_group_IT_number 166
_space_group_name_Hall '-R 3 2"'
loop_
_atom_site_label
_atom_site_type_symbol
_atom_site_fract_x
_atom_site_fract_y
_atom_site_fract_z
_atom_site_occupancy
Li1 Li 0.0000 0.0000 0.0000 1
Ho1 Ho 0.0000 0.0000 0.5000 1
O1 O 0.0000 0.0000 0.2457 1
```